# Ir6Ru2Pt GGA-PBE optimized geometry
# Calculated formation energy   -0.014 eV per atom
# Volume   260.9 Å³ per cell
data_Ir6Ru2Pt
_symmetry_space_group_name_H-M 'C 1 2/m 1'
_symmetry_Int_Tables_number 12
_cell_length_a 11.617
_cell_length_b 3.867
_cell_length_c 6.120
_cell_angle_alpha 90.00
_cell_angle_beta 108.40
_cell_angle_gamma 90.00
loop_
_symmetry_equiv_pos_as_xyz
'x,y,z'
'-x,-y,-z'
'-x,y,-z'
'x,-y,z'
'x+1/2,y+1/2,z'
'-x+1/2,-y+1/2,-z'
'-x+1/2,y+1/2,-z'
'x+1/2,-y+1/2,z'
loop_
_atom_site_label
_atom_site_fract_x
_atom_site_fract_y
_atom_site_fract_z
Ir1 0.109 0.000 0.160
Ir2 0.169 0.500 0.500
Ir3 0.222 0.000 0.838
Ru1 0.056 0.500 0.841
Pt1 0.000 0.000 0.500